NaMnGa2F8 | Alexandria | PBE+U | relaxed; DFT total energy = -4.90 eV per atom; volume = 196 Å³/f.u.
1.0
5.783 0.000 0.000
-2.891 5.008 0.000
0.000 0.000 6.780
Na Mn Ga F
1 1 2 8
direct
0.000 0.000 0.000 Na
0.000 0.000 0.500 Mn
0.333 0.667 0.807 Ga
0.667 0.333 0.193 Ga
0.156 0.841 0.713 F
0.159 0.315 0.713 F
0.315 0.156 0.287 F
0.333 0.667 0.074 F
0.667 0.333 0.926 F
0.685 0.844 0.713 F
0.841 0.685 0.287 F
0.844 0.159 0.287 F